1.
PrPt | PBE-GGA | relaxed

abc: 7.415 4.636 5.787
angles: 90.00 90.00 90.00
Positions (direct):
Pr  0.182  0.250  0.140
Pr  0.318  0.750  0.640
Pr  0.682  0.250  0.360
Pr  0.818  0.750  0.860
Pt  0.044  0.250  0.653
Pt  0.456  0.750  0.153
Pt  0.544  0.250  0.847
Pt  0.956  0.750  0.347

Properties
Energy of formation from the pure elements (eV per atom): -1.1276
DFT total energy (eV/atom): -6.538
Spin magnetization (μB/f.u.): 0.00
Space-group type: Pnma (62)

---

2.
PrPt | PBE-GGA | relaxed

abc: 3.964 10.972 4.588
angles: 90.00 90.00 90.00
Positions (direct):
Pr  0.000  0.137  0.250
Pr  0.000  0.863  0.750
Pr  0.500  0.363  0.750
Pr  0.500  0.637  0.250
Pt  0.000  0.412  0.250
Pt  0.000  0.588  0.750
Pt  0.500  0.088  0.750
Pt  0.500  0.912  0.250

Properties
Energy of formation from the pure elements (eV per atom): -1.1214
DFT total energy (eV/atom): -6.532
Spin magnetization (μB/f.u.): 0.00
Space-group type: Cmcm (63)

---

3.
PrPt4 | PBE-GGA | relaxed

abc: 5.163 5.163 5.163
angles: 90.00 90.00 90.00
Positions (direct):
Pr  0.000  0.000  0.000
Pt  0.000  0.000  0.500
Pt  0.000  0.500  0.000
Pt  0.500  0.000  0.000
Pt  0.500  0.500  0.500

Properties
Energy of formation from the pure elements (eV per atom): 1.4900
DFT total energy (eV/atom): -4.299
Spin magnetization (μB/f.u.): 0.00
Space-group type: Pm-3m (221)